Entry 1:
# Ho4GaCu2, optimized geometry, DFT GGA-PBE
data_Ho4GaCu2
_cell_length_a 4.9043
_cell_length_b 4.9043
_cell_length_c 23.6288
_cell_angle_alpha 90.00
_cell_angle_beta 90.00
_cell_angle_gamma 120.00
_symmetry_space_group_name_H-M 'R -3 m'
_symmetry_Int_Tables_number 166
_symmetry_space_group_name_Hall '-R 3 2"'
loop_
_atom_site_label
_atom_site_type_symbol
_atom_site_fract_x
_atom_site_fract_y
_atom_site_fract_z
Ho1 Ho 0.0000 0.0000 0.1192
Ho2 Ho 0.0000 0.0000 0.3718
Ga1 Ga 0.0000 0.0000 0.5000
Cu1 Cu 0.0000 0.0000 0.2462
# ΔH_f (0 K): -0.23 eV per atom
# Mass density: 8.7 g/cm³
# V: 23.44 Å³/atom

=====

Entry 2:
# Ho2Ga4Cu3Ir, optimized geometry, DFT GGA-PBE
data_Ho2Ga4Cu3Ir
_cell_length_a 4.0303
_cell_length_b 4.0303
_cell_length_c 10.5973
_cell_angle_alpha 90.00
_cell_angle_beta 90.00
_cell_angle_gamma 90.00
_symmetry_space_group_name_H-M 'P -4 m 2'
_symmetry_Int_Tables_number 115
_symmetry_space_group_name_Hall 'P -4 -2'
loop_
_atom_site_label
_atom_site_type_symbol
_atom_site_fract_x
_atom_site_fract_y
_atom_site_fract_z
Ho1 Ho 0.0000 0.5000 0.2487
Ga1 Ga 0.0000 0.0000 0.0000
Ga2 Ga 0.0000 0.5000 0.6382
Ga3 Ga 0.5000 0.5000 0.0000
Cu1 Cu 0.0000 0.5000 0.8629
Cu2 Cu 0.5000 0.5000 0.5000
Ir1 Ir 0.0000 0.0000 0.5000
# ΔH_f (0 K): -0.49 eV per atom
# Mass density: 9.6 g/cm³
# V: 17.21 Å³/atom

=====

Entry 3:
# HoGa4Cu2Ir, optimized geometry, DFT GGA-PBE
data_HoGa4Cu2Ir
_cell_length_a 4.1762
_cell_length_b 4.1762
_cell_length_c 26.5013
_cell_angle_alpha 90.00
_cell_angle_beta 90.00
_cell_angle_gamma 120.00
_symmetry_space_group_name_H-M 'R -3 m'
_symmetry_Int_Tables_number 166
_symmetry_space_group_name_Hall '-R 3 2"'
loop_
_atom_site_label
_atom_site_type_symbol
_atom_site_fract_x
_atom_site_fract_y
_atom_site_fract_z
Ho1 Ho 0.0000 0.0000 0.0000
Ga1 Ga 0.0000 0.0000 0.1285
Ga2 Ga 0.0000 0.0000 0.3998
Cu1 Cu 0.0000 0.0000 0.2414
Ir1 Ir 0.0000 0.0000 0.5000
# ΔH_f (0 K): -0.33 eV per atom
# Mass density: 9.5 g/cm³
# V: 16.68 Å³/atom

=====

Entry 4:
# Ho2Ga4CuIr3, optimized geometry, DFT GGA-PBE
data_Ho2Ga4CuIr3
_cell_length_a 3.9762
_cell_length_b 3.9762
_cell_length_c 11.3153
_cell_angle_alpha 90.00
_cell_angle_beta 90.00
_cell_angle_gamma 90.00
_symmetry_space_group_name_H-M 'P -4 m 2'
_symmetry_Int_Tables_number 115
_symmetry_space_group_name_Hall 'P -4 -2'
loop_
_atom_site_label
_atom_site_type_symbol
_atom_site_fract_x
_atom_site_fract_y
_atom_site_fract_z
Ho1 Ho 0.0000 0.5000 0.2448
Ga1 Ga 0.0000 0.0000 0.0000
Ga2 Ga 0.0000 0.5000 0.6331
Ga3 Ga 0.5000 0.5000 0.0000
Cu1 Cu 0.0000 0.0000 0.5000
Ir1 Ir 0.0000 0.5000 0.8553
Ir2 Ir 0.5000 0.5000 0.5000
# ΔH_f (0 K): -0.63 eV per atom
# Mass density: 11.6 g/cm³
# V: 17.89 Å³/atom

=====

Entry 5:
# HoGaCuIr, optimized geometry, DFT GGA-PBE
data_HoGaCuIr
_cell_length_a 6.4832
_cell_length_b 6.4832
_cell_length_c 6.4832
_cell_angle_alpha 90.00
_cell_angle_beta 90.00
_cell_angle_gamma 90.00
_symmetry_space_group_name_H-M 'F -4 3 m'
_symmetry_Int_Tables_number 216
_symmetry_space_group_name_Hall 'F -4 2 3'
loop_
_atom_site_label
_atom_site_type_symbol
_atom_site_fract_x
_atom_site_fract_y
_atom_site_fract_z
Ho1 Ho 0.0000 0.0000 0.0000
Ga1 Ga 0.0000 0.0000 0.5000
Cu1 Cu 0.2500 0.2500 0.2500
Ir1 Ir 0.2500 0.2500 0.7500
# ΔH_f (0 K): -0.42 eV per atom
# Mass density: 12.0 g/cm³
# V: 17.03 Å³/atom

=====

Entry 6:
# LaHo2Ga2Cu2, optimized geometry, DFT GGA-PBE
data_LaHo2Ga2Cu2
_cell_length_a 4.4583
_cell_length_b 4.4583
_cell_length_c 27.4956
_cell_angle_alpha 90.00
_cell_angle_beta 90.00
_cell_angle_gamma 120.00
_symmetry_space_group_name_H-M 'R -3 m'
_symmetry_Int_Tables_number 166
_symmetry_space_group_name_Hall '-R 3 2"'
loop_
_atom_site_label
_atom_site_type_symbol
_atom_site_fract_x
_atom_site_fract_y
_atom_site_fract_z
La1 La 0.0000 0.0000 0.0000
Ho1 Ho 0.0000 0.0000 0.1263
Ga1 Ga 0.0000 0.0000 0.2561
Cu1 Cu 0.0000 0.0000 0.4084
# ΔH_f (0 K): -0.40 eV per atom
# Mass density: 7.7 g/cm³
# V: 22.54 Å³/atom

=====

Entry 7:
# LaHoGa2Cu2, optimized geometry, DFT GGA-PBE
data_LaHoGa2Cu2
_cell_length_a 4.3979
_cell_length_b 4.3979
_cell_length_c 7.4571
_cell_angle_alpha 90.00
_cell_angle_beta 90.00
_cell_angle_gamma 120.00
_symmetry_space_group_name_H-M 'P -3 m 1'
_symmetry_Int_Tables_number 164
_symmetry_space_group_name_Hall '-P 3 2"'
loop_
_atom_site_label
_atom_site_type_symbol
_atom_site_fract_x
_atom_site_fract_y
_atom_site_fract_z
La1 La 0.0000 0.0000 0.0000
Ho1 Ho 0.0000 0.0000 0.5000
Ga1 Ga 0.3333 0.6667 0.2791
Cu1 Cu 0.3333 0.6667 0.7096
# ΔH_f (0 K): -0.48 eV per atom
# Mass density: 7.6 g/cm³
# V: 20.82 Å³/atom

=====

Entry 8:
# La2HoGa2Cu2, optimized geometry, DFT GGA-PBE
data_La2HoGa2Cu2
_cell_length_a 4.4128
_cell_length_b 4.4128
_cell_length_c 27.8842
_cell_angle_alpha 90.00
_cell_angle_beta 90.00
_cell_angle_gamma 120.00
_symmetry_space_group_name_H-M 'R -3 m'
_symmetry_Int_Tables_number 166
_symmetry_space_group_name_Hall '-R 3 2"'
loop_
_atom_site_label
_atom_site_type_symbol
_atom_site_fract_x
_atom_site_fract_y
_atom_site_fract_z
La1 La 0.0000 0.0000 0.1262
Ho1 Ho 0.0000 0.0000 0.0000
Ga1 Ga 0.0000 0.0000 0.2717
Cu1 Cu 0.0000 0.0000 0.3902
# ΔH_f (0 K): -0.41 eV per atom
# Mass density: 7.5 g/cm³
# V: 22.39 Å³/atom

=====

Summary of raw total energy in eV/atom
-4.45; -4.73; -4.55; -5.83; -5.56; -4.45; -4.44; -4.51
(order as listed above)